Computed, not measured: a relaxed structure of Pr3Dy3Tm5 at the GGA-PBE level of DFT.

For the density of states at the Fermi level, the calculation gives 15.84 states/eV/cell. The calculation puts the total energy at -3.7773 eV/atom. For the volume, the calculation gives 39.71 Å³/atom.

The structure belongs to space group P-62m (No. 189); the cell edges are 9.6247, 9.6247 and 5.4455 Å and the angles 90.00°, 90.00° and 120.00°. Symmetry generates all atoms from Pr at (0.0000, 0.6344, 0.0000), Dy at (0.0000, 0.4563, 0.5000), Tm at (0.0000, 0.2686, 0.0000) and Tm at (0.3333, 0.6667, 0.0000).